VASP calculation (GGA-PBE) on a relaxed structure of Pr5Sm4Co2.

Output
calculated total energy = -5.1415 eV per atom
total magnetic moment = 0.00 Bohr magnetons per cell

```
data_Pr5Sm4Co2
_chemical_formula_sum 'Pr5 Sm4 Co2'
_cell_length_a 3.6254
_cell_length_b 9.1352
_cell_length_c 10.1993
_cell_angle_alpha 93.94
_cell_angle_beta 90.00
_cell_angle_gamma 90.00
_symmetry_space_group_name_H-M 'P 1'
_symmetry_Int_Tables_number 1
_symmetry_space_group_name_Hall 'P 1'
loop_
_atom_site_label
_atom_site_fract_x
_atom_site_fract_y
_atom_site_fract_z
Pr1 0.0000 0.5286 0.3339
Pr2 0.0000 0.1555 0.1490
Pr3 0.0000 0.5000 0.0000
Pr4 0.0000 0.8445 0.8510
Pr5 0.0000 0.4714 0.6661
Sm1 0.5000 0.8189 0.5342
Sm2 0.5000 0.1770 0.8159
Sm3 0.5000 0.1811 0.4658
Sm4 0.5000 0.8230 0.1841
Co1 0.0000 0.0405 0.6416
Co2 0.0000 0.9595 0.3584
```

***

VASP calculation (GGA-PBE) on a relaxed structure of ReMoPt2.

Output
calculated total energy = -8.9722 eV per atom
energy relative to the lowest polymorph listed for this composition = 22 meV/atom
total magnetic moment = 0.00 Bohr magnetons per cell

```
data_ReMoPt2
_chemical_formula_sum 'Re1 Mo1 Pt2'
_cell_length_a 4.9352
_cell_length_b 4.9352
_cell_length_c 2.7217
_cell_angle_alpha 90.00
_cell_angle_beta 90.00
_cell_angle_gamma 112.83
_symmetry_space_group_name_H-M 'P 1'
_symmetry_Int_Tables_number 1
_symmetry_space_group_name_Hall 'P 1'
loop_
_atom_site_label
_atom_site_fract_x
_atom_site_fract_y
_atom_site_fract_z
Mo1 0.0000 0.5000 0.5000
Pt1 0.0000 0.0000 0.0000
Pt2 0.5000 0.5000 0.0000
Re1 0.5000 0.0000 0.5000
```

***

VASP calculation (GGA-PBE) on a relaxed structure of BaBH2Ru.

Output
calculated total energy = -3.1777 eV per atom
total magnetic moment = 1.20 Bohr magnetons per cell

```
data_BaBH2Ru
_chemical_formula_sum 'Ba1 B1 H2 Ru1'
_cell_length_a 3.8974
_cell_length_b 5.8238
_cell_length_c 3.8974
_cell_angle_alpha 90.00
_cell_angle_beta 90.00
_cell_angle_gamma 90.00
_symmetry_space_group_name_H-M 'P 1'
_symmetry_Int_Tables_number 1
_symmetry_space_group_name_Hall 'P 1'
loop_
_atom_site_label
_atom_site_fract_x
_atom_site_fract_y
_atom_site_fract_z
Ru1 0.5000 0.5000 0.5000
B1 0.0000 0.5000 0.0000
Ba1 0.0000 0.0000 0.0000
H1 0.0000 0.0000 0.5000
H2 0.5000 0.0000 0.0000
```

***

VASP calculation (GGA-PBE) on a relaxed structure of NdZr2RhN4.

Output
raw formation energy = -1.08 eV per atom
calculated total energy = -8.8969 eV per atom
total magnetic moment = 0.00 Bohr magnetons per cell

```
data_NdZr2RhN4
_chemical_formula_sum 'Nd2 Zr4 Rh2 N8'
_cell_length_a 3.2554
_cell_length_b 5.9470
_cell_length_c 11.4704
_cell_angle_alpha 90.00
_cell_angle_beta 90.00
_cell_angle_gamma 105.88
_symmetry_space_group_name_H-M 'P 1'
_symmetry_Int_Tables_number 1
_symmetry_space_group_name_Hall 'P 1'
loop_
_atom_site_label
_atom_site_fract_x
_atom_site_fract_y
_atom_site_fract_z
Nd1 0.1143 0.2286 0.7500
Nd2 0.8857 0.7714 0.2500
Zr1 0.3693 0.7387 0.5499
Zr2 0.6307 0.2613 0.0499
Zr3 0.6307 0.2613 0.4501
Zr4 0.3693 0.7387 0.9501
Rh1 0.8504 0.7008 0.7500
Rh2 0.1496 0.2992 0.2500
N1 0.2708 0.5415 0.1091
N2 0.7292 0.4585 0.6091
N3 0.7292 0.4585 0.8909
N4 0.2708 0.5415 0.3909
N5 0.0000 0.0000 0.5000
N6 0.0000 0.0000 0.0000
N7 0.4575 0.9151 0.7500
N8 0.5425 0.0849 0.2500
```

***

- Among the records above, which one has the highest total magnetic moment?
  BaBH2Ru